Record 1
{"formula": "Sc2Si2Pt", "functional": "GGA-PBEsol", "state": "optimized geometry", "lattice": [[6.2513, 0.0000, 0.0000], [0.0000, 6.2513, 0.0000], [0.0000, 0.0000, 4.1876]], "species": ["Sc", "Sc", "Sc", "Sc", "Si", "Si", "Si", "Si", "Pt", "Pt"], "fractional_positions": [[0.1706, 0.3294, 0.0000], [0.3294, 0.8294, 0.0000], [0.6706, 0.1706, 0.0000], [0.8294, 0.6706, 0.0000], [0.1349, 0.6349, 0.5000], [0.3651, 0.1349, 0.5000], [0.6349, 0.8651, 0.5000], [0.8651, 0.3651, 0.5000], [0.0000, 0.0000, 0.5000], [0.5000, 0.5000, 0.5000]], "sg": "P4/mbm (127)", "mass_density_g_cm3": 6.9, "formation_energy_uncorrected_ev_per_atom": -1.1261, "crystal_system": "tetragonal", "dos_ef_per_ev_fu": 2.198}



Record 2
{"formula": "MgSc", "functional": "GGA-PBEsol", "state": "optimized geometry", "lattice": [[3.4266, 0.0000, 0.0000], [0.0000, 5.0580, 0.0000], [0.0000, 0.0000, 5.3494]], "species": ["Mg", "Mg", "Sc", "Sc"], "fractional_positions": [[0.2500, 0.2500, 0.0714], [0.7500, 0.7500, 0.9286], [0.2500, 0.7500, 0.4346], [0.7500, 0.2500, 0.5654]], "sg": "Pmmn (59)", "mass_density_g_cm3": 2.5, "delta_e_f_mev_per_atom": 33, "crystal_system": "orthorhombic", "dos_ef_per_ev_fu": 2.431}



Record 3
{"formula": "MgSc", "functional": "GGA-PBEsol", "state": "optimized geometry", "lattice": [[10.1779, 0.0000, 0.0000], [0.0000, 8.7922, 0.0000], [0.0000, 0.0000, 6.1518]], "species": ["Mg", "Mg", "Mg", "Mg", "Mg", "Mg", "Mg", "Mg", "Mg", "Mg", "Mg", "Mg", "Sc", "Sc", "Sc", "Sc", "Sc", "Sc", "Sc", "Sc", "Sc", "Sc", "Sc", "Sc"], "fractional_positions": [[0.1241, 0.0750, 0.2500], [0.1241, 0.4250, 0.7500], [0.1249, 0.7500, 0.0000], [0.1249, 0.7500, 0.5000], [0.3704, 0.5882, 0.2500], [0.3704, 0.9118, 0.7500], [0.6296, 0.0882, 0.2500], [0.6296, 0.4118, 0.7500], [0.8751, 0.2500, 0.0000], [0.8751, 0.2500, 0.5000], [0.8759, 0.5750, 0.2500], [0.8759, 0.9250, 0.7500], [0.1284, 0.0940, 0.7500], [0.1284, 0.4060, 0.2500], [0.3771, 0.2500, 0.0000], [0.3771, 0.2500, 0.5000], [0.3832, 0.5756, 0.7500], [0.3832, 0.9244, 0.2500], [0.6168, 0.0756, 0.7500], [0.6168, 0.4244, 0.2500], [0.6229, 0.7500, 0.0000], [0.6229, 0.7500, 0.5000], [0.8716, 0.5940, 0.7500], [0.8716, 0.9060, 0.2500]], "sg": "Pbcm (57)", "mass_density_g_cm3": 2.5, "delta_e_f_mev_per_atom": 31, "crystal_system": "orthorhombic", "dos_ef_per_ev_fu": 2.400}



Record 4
{"formula": "SrMgW2", "functional": "GGA-PBEsol", "state": "optimized geometry", "lattice": [[2.7755, 0.0000, 0.0000], [0.0000, 4.6223, 0.0000], [0.0000, 0.0000, 6.6731]], "species": ["Sr", "Mg", "W", "W"], "fractional_positions": [[0.0000, 0.0000, 0.0000], [0.0000, 0.0000, 0.5000], [0.5000, 0.5000, 0.3193], [0.5000, 0.5000, 0.6807]], "sg": "Pmmm (47)", "mass_density_g_cm3": 9.3, "delta_e_f_mev_per_atom": 1030, "crystal_system": "orthorhombic", "dos_ef_per_ev_fu": 3.843}



Record 5
{"formula": "BaTa2HPd", "functional": "GGA-PBEsol", "state": "optimized geometry", "lattice": [[5.1247, 0.0000, 0.0000], [0.0000, 5.1247, 0.0000], [0.0000, 0.0000, 5.0612]], "species": ["Ba", "Ta", "Ta", "H", "Pd"], "fractional_positions": [[0.0000, 0.0000, 0.0000], [0.0000, 0.5000, 0.0000], [0.5000, 0.0000, 0.0000], [0.5000, 0.5000, 0.5000], [0.0000, 0.0000, 0.5000]], "sg": "P4/mmm (123)", "mass_density_g_cm3": 7.6, "energy_ev_per_atom": -4.00, "crystal_system": "tetragonal", "dos_ef_per_ev_fu": 5.992}



Record 6
{"formula": "CaNb2P6O21", "functional": "GGA-PBEsol", "state": "optimized geometry", "lattice": [[6.7024, -5.3492, 0.0000], [6.7024, 5.3492, 0.0000], [-1.3311, 0.0000, 12.4285]], "species": ["Ca", "Ca", "Nb", "Nb", "Nb", "Nb", "P", "P", "P", "P", "P", "P", "P", "P", "P", "P", "P", "P", "O", "O", "O", "O", "O", "O", "O", "O", "O", "O", "O", "O", "O", "O", "O", "O", "O", "O", "O", "O", "O", "O", "O", "O", "O", "O", "O", "O", "O", "O", "O", "O", "O", "O", "O", "O", "O", "O", "O", "O", "O", "O"], "fractional_positions": [[0.2240, 0.2240, 0.1365], [0.7760, 0.7760, 0.8635], [0.2450, 0.7550, 0.5000], [0.2862, 0.2862, 0.8221], [0.7138, 0.7138, 0.1779], [0.7550, 0.2450, 0.5000], [0.1298, 0.6480, 0.2329], [0.1406, 0.1406, 0.4088], [0.2026, 0.6779, 0.8973], [0.3221, 0.7974, 0.1027], [0.3433, 0.3433, 0.5444], [0.3520, 0.8702, 0.7671], [0.6480, 0.1298, 0.2329], [0.6567, 0.6567, 0.4556], [0.6779, 0.2026, 0.8973], [0.7974, 0.3221, 0.1027], [0.8594, 0.8594, 0.5912], [0.8702, 0.3520, 0.7671], [0.0178, 0.7859, 0.5365], [0.0368, 0.7043, 0.9301], [0.0528, 0.3165, 0.7778], [0.1291, 0.1291, 0.2897], [0.1714, 0.7798, 0.1628], [0.1820, 0.7008, 0.3503], [0.2120, 0.4829, 0.1995], [0.2141, 0.9822, 0.4635], [0.2202, 0.8286, 0.8372], [0.2591, 0.2591, 0.4448], [0.2673, 0.5286, 0.8258], [0.2753, 0.2753, 0.9608], [0.2872, 0.5236, 0.5282], [0.2957, 0.9632, 0.0699], [0.2984, 0.2984, 0.6479], [0.2992, 0.8180, 0.6497], [0.3165, 0.0528, 0.7778], [0.3293, 0.6707, 0.0000], [0.4714, 0.7327, 0.1742], [0.4764, 0.7128, 0.4718], [0.4829, 0.2120, 0.1995], [0.5171, 0.7880, 0.8005], [0.5236, 0.2872, 0.5282], [0.5286, 0.2673, 0.8258], [0.6707, 0.3293, 0.0000], [0.6835, 0.9472, 0.2222], [0.7008, 0.1820, 0.3503], [0.7016, 0.7016, 0.3521], [0.7043, 0.0368, 0.9301], [0.7128, 0.4764, 0.4718], [0.7247, 0.7247, 0.0392], [0.7327, 0.4714, 0.1742], [0.7409, 0.7409, 0.5552], [0.7798, 0.1714, 0.1628], [0.7859, 0.0178, 0.5365], [0.7880, 0.5171, 0.8005], [0.8180, 0.2992, 0.6497], [0.8286, 0.2202, 0.8372], [0.8709, 0.8709, 0.7103], [0.9472, 0.6835, 0.2222], [0.9632, 0.2957, 0.0699], [0.9822, 0.2141, 0.4635]], "sg": "C2/m (12)", "mass_density_g_cm3": 2.8, "formation_energy_uncorrected_ev_per_atom": -2.3789, "crystal_system": "monoclinic", "dos_ef_per_ev_fu": 0.000}



Record 7
{"formula": "NaTi3B", "functional": "GGA-PBEsol", "state": "optimized geometry", "lattice": [[4.3923, 0.0000, 0.0000], [0.0000, 4.3923, 0.0000], [0.0000, 0.0000, 4.3923]], "species": ["Na", "Ti", "Ti", "Ti", "B"], "fractional_positions": [[0.0000, 0.0000, 0.0000], [0.0000, 0.5000, 0.5000], [0.5000, 0.0000, 0.5000], [0.5000, 0.5000, 0.0000], [0.5000, 0.5000, 0.5000]], "sg": "Pm-3m (221)", "mass_density_g_cm3": 3.5, "relative_energy_mev_per_atom": 0.0, "delta_e_f_mev_per_atom": 352, "crystal_system": "cubic", "dos_ef_per_ev_fu": 8.621}



Record 8
{"formula": "NiRh3", "functional": "GGA-PBEsol", "state": "optimized geometry", "lattice": [[2.6536, 0.0000, 0.0000], [0.0000, 3.6787, 0.0000], [0.0000, 0.0000, 5.2426]], "species": ["Ni", "Rh", "Rh", "Rh"], "fractional_positions": [[0.0000, 0.0000, 0.0000], [0.0000, 0.0000, 0.5000], [0.5000, 0.5000, 0.2441], [0.5000, 0.5000, 0.7559]], "sg": "Pmmm (47)", "mass_density_g_cm3": 11.9, "delta_e_f_mev_per_atom": 34, "crystal_system": "orthorhombic", "dos_ef_per_ev_fu": 6.177}